No. 1
{
  "formula": "In2HgRh2",
  "functional": "PBEsol",
  "state": "relaxed",
  "delta_e_f_mev_per_atom": -272,
  "sg": "P4/mbm (127)",
  "magmom_total_mub_per_cell": 0.00,
  "dos_ef_per_ev_cell": 4.635,
  "cell": [[7.4776, 0.0000, 0.0000], [0.0000, 7.4776, 0.0000], [0.0000, 0.0000, 3.1748]],
  "species": ["In", "In", "In", "In", "Hg", "Hg", "Rh", "Rh", "Rh", "Rh"],
  "fractional_positions": [[0.1529, 0.3471, 0.0000], [0.3471, 0.8471, 0.0000], [0.6529, 0.1529, 0.0000], [0.8471, 0.6529, 0.0000], [0.0000, 0.0000, 0.5000], [0.5000, 0.5000, 0.5000], [0.1446, 0.6446, 0.5000], [0.3554, 0.1446, 0.5000], [0.6446, 0.8554, 0.5000], [0.8554, 0.3554, 0.5000]]
}

No. 2
{
  "formula": "Mg2CoW",
  "functional": "PBEsol",
  "state": "relaxed",
  "delta_e_f_mev_per_atom": 420,
  "sg": "P4/mmm (123)",
  "magmom_total_mub_per_cell": 1.25,
  "relative_energy_mev_per_atom": 0,
  "dos_ef_per_ev_cell": 4.607,
  "cell": [[2.6998, 0.0000, 0.0000], [0.0000, 2.6998, 0.0000], [0.0000, 0.0000, 8.3542]],
  "species": ["Mg", "Mg", "Co", "W"],
  "fractional_positions": [[0.0000, 0.0000, 0.2278], [0.0000, 0.0000, 0.7722], [0.5000, 0.5000, 0.0000], [0.5000, 0.5000, 0.5000]]
}

No. 3
{
  "formula": "Mn2CuSnHg",
  "functional": "PBEsol",
  "state": "relaxed",
  "delta_e_f_mev_per_atom": 1073,
  "sg": "P4/mmm (123)",
  "magmom_total_mub_per_cell": 8.12,
  "dos_ef_per_ev_cell": 3.564,
  "cell": [[4.9358, 0.0000, 0.0000], [0.0000, 4.9358, 0.0000], [0.0000, 0.0000, 4.7258]],
  "species": ["Mn", "Mn", "Cu", "Sn", "Hg"],
  "fractional_positions": [[0.0000, 0.5000, 0.0000], [0.5000, 0.0000, 0.0000], [0.0000, 0.0000, 0.5000], [0.5000, 0.5000, 0.5000], [0.0000, 0.0000, 0.0000]]
}

No. 4
{
  "formula": "NaZnN",
  "functional": "PBEsol",
  "state": "relaxed",
  "sg": "P6_3mc (186)",
  "raw_formation_energy_ev_per_atom": -0.05,
  "magmom_total_mub_per_cell": 0.00,
  "dos_ef_per_ev_cell": 0.378,
  "cell": [[3.4006, 0.0000, 0.0000], [-1.7003, 2.9450, 0.0000], [0.0000, 0.0000, 8.5881]],
  "species": ["Na", "Na", "Zn", "Zn", "N", "N"],
  "fractional_positions": [[0.3333, 0.6667, 0.0000], [0.6667, 0.3333, 0.5000], [0.0000, 0.0000, 0.2302], [0.0000, 0.0000, 0.7302], [0.3333, 0.6667, 0.7091], [0.6667, 0.3333, 0.2091]]
}

No. 5
{
  "formula": "Ti2RuRh",
  "functional": "PBEsol",
  "state": "relaxed",
  "delta_e_f_mev_per_atom": -719,
  "sg": "Fm-3m (225)",
  "magmom_total_mub_per_cell": 0.00,
  "dos_ef_per_ev_cell": 3.022,
  "cell": [[0.0000, 3.0522, 3.0522], [3.0522, 0.0000, 3.0522], [3.0522, 3.0522, 0.0000]],
  "species": ["Ti", "Ti", "Ru", "Rh"],
  "fractional_positions": [[0.2500, 0.2500, 0.2500], [0.7500, 0.7500, 0.7500], [0.0000, 0.0000, 0.0000], [0.5000, 0.5000, 0.5000]]
}

No. 6
{
  "formula": "CsGaIO2",
  "functional": "PBEsol",
  "state": "relaxed",
  "sg": "P4/mmm (123)",
  "raw_formation_energy_ev_per_atom": -0.40,
  "magmom_total_mub_per_cell": 1.01,
  "dos_ef_per_ev_cell": 4.229,
  "cell": [[4.4745, 0.0000, 0.0000], [0.0000, 4.4745, 0.0000], [0.0000, 0.0000, 5.3994]],
  "species": ["Cs", "Ga", "I", "O", "O"],
  "fractional_positions": [[0.0000, 0.0000, 0.0000], [0.5000, 0.5000, 0.5000], [0.5000, 0.5000, 0.0000], [0.0000, 0.5000, 0.5000], [0.5000, 0.0000, 0.5000]]
}

No. 7
{
  "formula": "AgW3Cl",
  "functional": "PBEsol",
  "state": "relaxed",
  "sg": "Pm-3m (221)",
  "raw_formation_energy_ev_per_atom": 1.51,
  "magmom_total_mub_per_cell": 0.00,
  "dos_ef_per_ev_cell": 2.125,
  "cell": [[4.3590, 0.0000, 0.0000], [0.0000, 4.3590, 0.0000], [0.0000, 0.0000, 4.3590]],
  "species": ["Ag", "W", "W", "W", "Cl"],
  "fractional_positions": [[0.0000, 0.0000, 0.0000], [0.0000, 0.5000, 0.5000], [0.5000, 0.0000, 0.5000], [0.5000, 0.5000, 0.0000], [0.5000, 0.5000, 0.5000]]
}

No. 8
{
  "formula": "ScPBr2",
  "functional": "PBEsol",
  "state": "relaxed",
  "sg": "I-42d (122)",
  "raw_formation_energy_ev_per_atom": -0.60,
  "magmom_total_mub_per_cell": 3.57,
  "dos_ef_per_ev_cell": 4.458,
  "cell": [[-4.7302, 4.7302, 2.5768], [4.7302, -4.7302, 2.5768], [4.7302, 4.7302, -2.5768]],
  "species": ["Sc", "Sc", "P", "P", "Br", "Br", "Br", "Br"],
  "fractional_positions": [[0.0000, 0.0000, 0.0000], [0.7500, 0.2500, 0.5000], [0.2500, 0.7500, 0.5000], [0.5000, 0.5000, 0.0000], [0.3750, 0.2343, 0.3593], [0.7657, 0.1250, 0.1407], [0.8750, 0.0157, 0.6407], [0.9843, 0.6250, 0.8593]]
}

No. 9
{
  "formula": "Zr2ScCd",
  "functional": "PBEsol",
  "state": "relaxed",
  "delta_e_f_mev_per_atom": -101,
  "sg": "I4/mmm (139)",
  "magmom_total_mub_per_cell": 0.00,
  "relative_energy_mev_per_atom": 33,
  "dos_ef_per_ev_cell": 5.062,
  "cell": [[-2.1364, 2.1364, 4.6327], [2.1364, -2.1364, 4.6327], [2.1364, 2.1364, -4.6327]],
  "species": ["Zr", "Zr", "Sc", "Cd"],
  "fractional_positions": [[0.2500, 0.7500, 0.5000], [0.7500, 0.2500, 0.5000], [0.0000, 0.0000, 0.0000], [0.5000, 0.5000, 0.0000]]
}

No. 10
{
  "formula": "InIrW2",
  "functional": "PBEsol",
  "state": "relaxed",
  "delta_e_f_mev_per_atom": 266,
  "sg": "Pmm2 (25)",
  "magmom_total_mub_per_cell": 0.00,
  "dos_ef_per_ev_cell": 1.681,
  "cell": [[2.8512, 0.0000, 0.0000], [0.0000, 3.6490, 0.0000], [0.0000, 0.0000, 6.2708]],
  "species": ["In", "Ir", "W", "W"],
  "fractional_positions": [[0.0000, 0.0000, 0.0000], [0.5000, 0.5000, 0.2605], [0.0000, 0.0000, 0.4824], [0.5000, 0.5000, 0.7281]]
}

No. 11
{
  "formula": "SnSb",
  "functional": "PBEsol",
  "state": "relaxed",
  "sg": "P4/mmm (123)",
  "raw_formation_energy_ev_per_atom": 0.02,
  "magmom_total_mub_per_cell": 0.00,
  "dos_ef_per_ev_cell": 1.149,
  "cell": [[3.0484, 0.0000, 0.0000], [0.0000, 3.0484, 0.0000], [0.0000, 0.0000, 6.0590]],
  "species": ["Sn", "Sb"],
  "fractional_positions": [[0.0000, 0.0000, 0.0000], [0.0000, 0.0000, 0.5000]]
}

No. 12
{
  "formula": "Mg5Ir",
  "functional": "PBEsol",
  "state": "relaxed",
  "delta_e_f_mev_per_atom": 207,
  "sg": "F-43m (216)",
  "magmom_total_mub_per_cell": 0.00,
  "relative_energy_mev_per_atom": 346,
  "dos_ef_per_ev_cell": 3.237,
  "cell": [[0.0000, 3.8173, 3.8173], [3.8173, 0.0000, 3.8173], [3.8173, 3.8173, 0.0000]],
  "species": ["Mg", "Mg", "Mg", "Mg", "Mg", "Ir"],
  "fractional_positions": [[0.0000, 0.0000, 0.0000], [0.3759, 0.3759, 0.3759], [0.3759, 0.3759, 0.8724], [0.3759, 0.8724, 0.3759], [0.8724, 0.3759, 0.3759], [0.7500, 0.7500, 0.7500]]
}

- What is the formula in the fifth record?
  Ti2RuRh